The following is a DFT calculation (PBE) of an optimized crystal structure of V7Co6Pt16.

Structure (POSCAR):
```
V7Co6Pt16
1.0
0.000 6.075 6.075
6.075 0.000 6.075
6.075 6.075 0.000
V Co Pt
7 6 16
Direct
0.000 0.000 0.000 V
0.000 0.000 0.500 V
0.000 0.500 0.000 V
0.000 0.500 0.500 V
0.500 0.000 0.000 V
0.500 0.000 0.500 V
0.500 0.500 0.000 V
0.354 0.354 0.646 Co
0.354 0.646 0.354 Co
0.354 0.646 0.646 Co
0.646 0.354 0.354 Co
0.646 0.354 0.646 Co
0.646 0.646 0.354 Co
0.039 0.654 0.654 Pt
0.120 0.120 0.120 Pt
0.120 0.120 0.640 Pt
0.120 0.640 0.120 Pt
0.346 0.346 0.346 Pt
0.346 0.346 0.961 Pt
0.346 0.961 0.346 Pt
0.360 0.880 0.880 Pt
0.640 0.120 0.120 Pt
0.654 0.039 0.654 Pt
0.654 0.654 0.039 Pt
0.654 0.654 0.654 Pt
0.880 0.360 0.880 Pt
0.880 0.880 0.360 Pt
0.880 0.880 0.880 Pt
0.961 0.346 0.346 Pt
```

Values from the calculation:
DOS(E_F) in states/eV/cell: 28.21
Size of the total moment in μB per cell: 9.6
ΔH_f (0 K) in eV per atom: -0.138
Space-group type: Fm-3m
Uncorrected energy in eV per atom: -7.14

---

The following is a DFT calculation (PBE) of an optimized crystal structure of VCo2Pt5.

Structure (POSCAR):
```
VCo2Pt5
1.0
-3.241 3.241 5.565
3.241 -3.241 5.565
3.241 3.241 -5.565
V Co Pt
2 4 10
Direct
0.250 0.250 0.000 V
0.750 0.750 0.000 V
0.132 0.632 0.764 Co
0.368 0.132 0.500 Co
0.632 0.868 0.500 Co
0.868 0.368 0.236 Co
0.000 0.000 0.000 Pt
0.000 0.184 0.500 Pt
0.000 0.816 0.500 Pt
0.184 0.684 0.185 Pt
0.316 0.500 0.500 Pt
0.500 0.000 0.185 Pt
0.500 0.000 0.815 Pt
0.500 0.500 0.000 Pt
0.684 0.500 0.500 Pt
0.816 0.316 0.815 Pt
```

Values from the calculation:
DOS(E_F) in states/eV/cell: 23.96
Size of the total moment in μB per cell: 6.0
ΔH_f (0 K) in eV per atom: -0.064
Space-group type: I4/mcm
Uncorrected energy in eV per atom: -6.76

---

The following is a DFT calculation (PBE) of an optimized crystal structure of VCo2Pt8.

Structure (POSCAR):
```
VCo2Pt8
1.0
6.989 -1.949 0.000
6.989 1.949 0.000
-1.697 0.000 5.929
V Co Pt
1 2 8
Direct
0.000 0.000 0.000 V
0.275 0.275 0.375 Co
0.725 0.725 0.625 Co
0.097 0.097 0.449 Pt
0.182 0.182 0.917 Pt
0.363 0.363 0.814 Pt
0.453 0.453 0.270 Pt
0.547 0.547 0.730 Pt
0.637 0.637 0.186 Pt
0.818 0.818 0.083 Pt
0.903 0.903 0.551 Pt
```

Values from the calculation:
DOS(E_F) in states/eV/cell: 12.30
Size of the total moment in μB per cell: 4.5
ΔH_f (0 K) in eV per atom: -0.220
Space-group type: C2/m
Uncorrected energy in eV per atom: -6.73

---

The following is a DFT calculation (PBE) of an optimized crystal structure of VCoPt2.

Structure (POSCAR):
```
VCoPt2
1.0
-3.389 3.389 2.682
3.389 -3.389 2.682
3.389 3.389 -2.682
V Co Pt
2 2 4
Direct
0.000 0.000 0.000 V
0.750 0.250 0.500 V
0.250 0.750 0.500 Co
0.500 0.500 0.000 Co
0.122 0.625 0.997 Pt
0.375 0.372 0.497 Pt
0.628 0.125 0.003 Pt
0.875 0.878 0.503 Pt
```

Values from the calculation:
DOS(E_F) in states/eV/cell: 11.50
Size of the total moment in μB per cell: 0.3
ΔH_f (0 K) in eV per atom: 0.131
Space-group type: I-42d
Uncorrected energy in eV per atom: -6.95

---

The following is a DFT calculation (PBE) of an optimized crystal structure of VCoPt3.

Structure (POSCAR):
```
VCoPt3
1.0
4.540 0.000 0.000
0.000 4.540 0.000
0.000 0.000 4.540
V Co Pt
1 1 3
Direct
0.000 0.000 0.000 V
0.500 0.500 0.500 Co
0.000 0.500 0.500 Pt
0.500 0.000 0.500 Pt
0.500 0.500 0.000 Pt
```

Values from the calculation:
DOS(E_F) in states/eV/cell: 10.17
Size of the total moment in μB per cell: 5.7
Energy above the most stable polymorph in this dataset in meV/atom: 1256
ΔH_f (0 K) in eV per atom: 0.908
Space-group type: Pm-3m
Uncorrected energy in eV per atom: -5.96

---

The following is a DFT calculation (PBE) of an optimized crystal structure of VCoPt4.

Structure (POSCAR):
```
VCoPt4
1.0
8.834 0.000 0.000
0.000 2.730 0.000
0.000 0.000 7.400
V Co Pt
2 2 8
Direct
0.250 0.000 0.182 V
0.750 0.000 0.818 V
0.250 0.000 0.523 Co
0.750 0.000 0.477 Co
0.000 0.000 0.000 Pt
0.035 0.500 0.329 Pt
0.250 0.500 0.857 Pt
0.465 0.500 0.329 Pt
0.500 0.000 0.000 Pt
0.535 0.500 0.671 Pt
0.750 0.500 0.143 Pt
0.965 0.500 0.671 Pt
```

Values from the calculation:
DOS(E_F) in states/eV/cell: 12.96
Size of the total moment in μB per cell: 3.0
ΔH_f (0 K) in eV per atom: -0.182
Space-group type: Pmma
Uncorrected energy in eV per atom: -6.91

---

Please write out number 5 again, unchanged.
The following is a DFT calculation (PBE) of an optimized crystal structure of VCoPt3.

Structure (POSCAR):
```
VCoPt3
1.0
4.540 0.000 0.000
0.000 4.540 0.000
0.000 0.000 4.540
V Co Pt
1 1 3
Direct
0.000 0.000 0.000 V
0.500 0.500 0.500 Co
0.000 0.500 0.500 Pt
0.500 0.000 0.500 Pt
0.500 0.500 0.000 Pt
```

Values from the calculation:
DOS(E_F) in states/eV/cell: 10.17
Size of the total moment in μB per cell: 5.7
Energy above the most stable polymorph in this dataset in meV/atom: 1256
ΔH_f (0 K) in eV per atom: 0.908
Space-group type: Pm-3m
Uncorrected energy in eV per atom: -5.96

---

> size of the total moment of number 1 (V7Co6Pt16)?

9.6 μB per cell

---

> Look up the size of the total moment of the second one.

6.0 μB per cell

---

Repeat the fifth record exactly.
The following is a DFT calculation (PBE) of an optimized crystal structure of VCoPt3.

Structure (POSCAR):
```
VCoPt3
1.0
4.540 0.000 0.000
0.000 4.540 0.000
0.000 0.000 4.540
V Co Pt
1 1 3
Direct
0.000 0.000 0.000 V
0.500 0.500 0.500 Co
0.000 0.500 0.500 Pt
0.500 0.000 0.500 Pt
0.500 0.500 0.000 Pt
```

Values from the calculation:
DOS(E_F) in states/eV/cell: 10.17
Size of the total moment in μB per cell: 5.7
Energy above the most stable polymorph in this dataset in meV/atom: 1256
ΔH_f (0 K) in eV per atom: 0.908
Space-group type: Pm-3m
Uncorrected energy in eV per atom: -5.96